# Na4Np3OsN8

An optimized crystal structure of Na4Np3OsN8 (PBE, Alexandria via LeMat-Bulk).

Cell and atoms, written as POSCAR:
```
Na4Np3OsN8
1.0
-6.055 2.420 1.306
-1.688 -5.896 3.097
5.407 3.282 2.053
Na Np Os N
4 3 1 8
Direct
0.500 0.000 0.000
0.500 0.000 0.500
0.000 0.000 0.000
0.000 0.000 0.500
0.500 0.500 0.000
0.500 0.500 0.500
0.000 0.500 0.500
0.000 0.500 0.000
0.231 0.690 0.959
0.231 0.690 0.463
0.271 0.312 0.541
0.728 0.690 0.959
0.272 0.310 0.041
0.729 0.688 0.459
0.769 0.310 0.537
0.769 0.310 0.041
```

Output
E_tot: -0.602 Ry/atom
energy relative to the elements, uncorrected: -0.57 eV per atom

***

# TbInPd5

An optimized crystal structure of TbInPd5 (PBE, Alexandria via LeMat-Bulk).

Cell and atoms, written as POSCAR:
```
TbInPd5
1.0
7.382 0.000 0.000
0.000 5.408 0.000
-3.691 -2.704 3.526
Tb In Pd
1 1 5
Direct
0.945 0.500 0.000
0.604 0.000 0.000
0.115 0.185 0.371
0.597 0.500 0.000
0.744 0.815 0.629
0.263 0.757 0.000
0.263 0.243 0.000
```

Output
calculated formation energy: -2.09 eV/f.u.
E_tot: -0.372 Ry/atom

***

# AlFe2BN

An optimized crystal structure of AlFe2BN (PBE, Alexandria via LeMat-Bulk).

Cell and atoms, written as POSCAR:
```
AlFe2BN
1.0
4.499 0.000 0.000
0.000 2.762 0.000
0.000 0.000 4.499
B N Fe Al
1 1 2 1
Direct
0.000 0.000 0.000
0.000 0.500 0.000
0.000 0.000 0.500
0.500 0.000 0.000
0.500 0.500 0.500
```

Output
E_tot: -0.491 Ry/atom
energy relative to the elements, uncorrected: 0.46 eV per atom

***

# PbAu2Br8

An optimized crystal structure of PbAu2Br8 (PBE, Alexandria via LeMat-Bulk).

Cell and atoms, written as POSCAR:
```
PbAu2Br8
1.0
7.452 0.000 0.000
0.000 7.452 0.000
-3.726 -3.726 6.589
Pb Au Br
1 2 8
Direct
0.500 0.500 0.000
0.750 0.250 0.500
0.250 0.750 0.500
0.793 0.286 0.238
0.047 0.555 0.762
0.714 0.207 0.762
0.207 0.047 0.762
0.445 0.953 0.238
0.953 0.793 0.238
0.286 0.445 0.238
0.555 0.714 0.762
```

Output
E_tot: -0.181 Ry/atom
energy relative to the elements, uncorrected: -0.31 eV per atom